(1)
This record from the Alexandria database describes crystalline In6Hg10Au at its relaxed geometry. The functional is GGA-PBE.

a = 9.1121 Å, b = 9.1121 Å, c = 6.2608 Å
α = 90.00°, β = 90.00°, γ = 120.00°
Last column: nearest neighbours and their distance in Å.
Fractional coordinates of all 17 atoms:
In1 0.0000 0.3907 0.2638  8 Hg 3.14-3.28
In2 0.0000 0.6093 0.7362  8 Hg 3.14-3.28
In3 0.3907 0.0000 0.2638  8 Hg 3.14-3.28
In4 0.3907 0.3907 0.7362  8 Hg 3.14-3.28
In5 0.6093 0.0000 0.7362  8 Hg 3.14-3.28
In6 0.6093 0.6093 0.2638  8 Hg 3.14-3.28
Hg1 0.0000 0.2517 0.7887  1 Au 2.92, 3 In 3.14-3.23
Hg2 0.0000 0.7483 0.2113  1 Au 2.92, 3 In 3.14-3.23
Hg3 0.2517 0.0000 0.7887  1 Au 2.92, 3 In 3.14-3.23
Hg4 0.2517 0.2517 0.2113  1 Au 2.92, 3 In 3.14-3.23
Hg5 0.3333 0.6667 0.0000  2 Hg 3.13, 6 In 3.26
Hg6 0.3333 0.6667 0.5000  2 Hg 3.13, 6 In 3.18
Hg7 0.6667 0.3333 0.0000  2 Hg 3.13, 6 In 3.26
Hg8 0.6667 0.3333 0.5000  2 Hg 3.13, 6 In 3.18
Hg9 0.7483 0.0000 0.2113  1 Au 2.92, 3 In 3.14-3.23
Hg10 0.7483 0.7483 0.7887  1 Au 2.92, 3 In 3.14-3.23
Au1 0.0000 0.0000 0.5000  6 Hg 2.92

Results
Space-group type = P-31m, No. 162
Total magnetic moment = 0.0 μB/f.u.
DFT formation energy = 2.4 kJ/mol of atoms

---

(2)
This record from the Alexandria database describes crystalline Ac2PrNd8 at its relaxed geometry. The functional is GGA-PBE.

a = 10.7482 Å, b = 10.7482 Å, c = 5.7775 Å
α = 93.01°, β = 93.01°, γ = 39.15°
Last column: nearest neighbours and their distance in Å.
Fractional coordinates of all 11 atoms:
Ac1 0.2184 0.2184 0.2566  11 Nd 3.53-3.87
Ac2 0.7816 0.7816 0.7434  11 Nd 3.53-3.87
Pr1 0.5000 0.5000 0.0000  10 Nd 3.58-3.94
Nd1 0.0440 0.0440 0.2372  1 Nd 3.19, 1 Ac 3.53
Nd2 0.1094 0.6414 0.2664  4 Nd 3.37-3.71, 1 Pr 3.58, 1 Ac 3.71
Nd3 0.3227 0.3227 0.7731  4 Nd 3.55-3.71, 4 Ac 3.56-3.70, 1 Pr 3.75
Nd4 0.3586 0.8906 0.7336  4 Nd 3.37-3.71, 1 Pr 3.58, 1 Ac 3.71
Nd5 0.6414 0.1094 0.2664  4 Nd 3.37-3.71, 1 Pr 3.58, 1 Ac 3.71
Nd6 0.6773 0.6773 0.2269  4 Nd 3.55-3.71, 4 Ac 3.56-3.70, 1 Pr 3.75
Nd7 0.8906 0.3586 0.7336  4 Nd 3.37-3.71, 1 Pr 3.58, 1 Ac 3.71
Nd8 0.9560 0.9560 0.7628  1 Nd 3.19, 1 Ac 3.53

Results
Space-group type = C2/m, No. 12
Total magnetic moment = 0.0 μB/f.u.
Energy above the lowest structure with this stoichiometry = 21 meV/atom
DFT formation energy = 16.7 kJ/mol of atoms

---

(3)
This record from the Alexandria database describes crystalline TaW2Cl at its relaxed geometry. The functional is GGA-PBE.

a = 3.1759 Å, b = 4.8147 Å, c = 8.9440 Å
α = 90.00°, β = 90.00°, γ = 90.00°
Last column: nearest neighbours and their distance in Å.
Fractional coordinates of all 8 atoms:
Ta1 0.0000 0.0000 0.0000  4 W 2.71, 4 Ta 2.88
Ta2 0.5000 0.5000 0.0000  4 W 2.71, 4 Ta 2.88
W1 0.0000 0.5000 0.2460  2 Ta 2.71, 2 Cl 2.77, 4 W 2.88
W2 0.0000 0.5000 0.7540  2 Ta 2.71, 2 Cl 2.77, 4 W 2.88
W3 0.5000 0.0000 0.2460  2 Ta 2.71, 2 Cl 2.77, 4 W 2.88
W4 0.5000 0.0000 0.7540  2 Ta 2.71, 2 Cl 2.77, 4 W 2.88
Cl1 0.0000 0.0000 0.5000  4 W 2.77, 4 Cl 2.88
Cl2 0.5000 0.5000 0.5000  4 W 2.77, 4 Cl 2.88

Results
Space-group type = Cmmm, No. 65
Total magnetic moment = 0.0 μB/f.u.
Energy above the lowest structure with this stoichiometry = 200 meV/atom
Formation energy (no corrections) = 435 meV/atom

---

(4)
This record from the Alexandria database describes crystalline DyCoGe2 at its relaxed geometry. The functional is GGA-PBE.

a = 6.8120 Å, b = 4.1430 Å, c = 10.0537 Å
α = 90.00°, β = 90.00°, γ = 90.00°
Last column: nearest neighbours and their distance in Å.
Fractional coordinates of all 16 atoms:
Dy1 0.1745 0.2500 0.1275  8 Ge 3.01-3.14, 3 Co 3.09-3.28
Dy2 0.3255 0.7500 0.6275  8 Ge 3.01-3.14, 3 Co 3.09-3.28
Dy3 0.6745 0.2500 0.3725  8 Ge 3.01-3.14, 3 Co 3.09-3.28
Dy4 0.8255 0.7500 0.8725  8 Ge 3.01-3.14, 3 Co 3.09-3.28
Co1 0.0114 0.7500 0.3798  5 Ge 2.30-2.45
Co2 0.4886 0.2500 0.8798  5 Ge 2.30-2.45
Co3 0.5114 0.7500 0.1202  5 Ge 2.30-2.45
Co4 0.9886 0.2500 0.6202  5 Ge 2.30-2.45
Ge1 0.1376 0.2500 0.8251  2 Co 2.30-2.45
Ge2 0.1719 0.2500 0.4276  3 Co 2.30-2.39
Ge3 0.3281 0.7500 0.9276  3 Co 2.30-2.39
Ge4 0.3624 0.7500 0.3251  2 Co 2.30-2.45
Ge5 0.6376 0.2500 0.6749  2 Co 2.30-2.45
Ge6 0.6719 0.2500 0.0724  3 Co 2.30-2.39
Ge7 0.8281 0.7500 0.5724  3 Co 2.30-2.39
Ge8 0.8624 0.7500 0.1749  2 Co 2.30-2.45

Results
Space-group type = Pnma, No. 62
Total magnetic moment = 0.0 μB/f.u.
DFT formation energy = -60.1 kJ/mol of atoms

---

(5)
This record from the Alexandria database describes crystalline Ac4NiGeTe2 at its relaxed geometry. The functional is GGA-PBE.

a = 7.8557 Å, b = 4.5506 Å, c = 8.2668 Å
α = 90.00°, β = 107.99°, γ = 90.00°
Last column: nearest neighbours and their distance in Å.
Fractional coordinates of all 8 atoms:
Ac1 0.2362 0.0000 0.2188  2 Ni 3.13, 1 Ge 3.14, 3 Te 3.39-3.45
Ac2 0.2508 0.5000 0.7816  1 Ni 3.06, 2 Ge 3.18, 2 Te 3.41
Ac3 0.7492 0.5000 0.2184  1 Ni 3.06, 2 Ge 3.18, 2 Te 3.41
Ac4 0.7638 0.0000 0.7812  2 Ni 3.13, 1 Ge 3.14, 3 Te 3.39-3.45
Ni1 0.0000 0.5000 0.0000  6 Ac 3.06-3.13
Ge1 0.5000 0.0000 0.0000  6 Ac 3.14-3.18
Te1 0.0000 0.0000 0.5000  6 Ac 3.39-3.41
Te2 0.5000 0.5000 0.5000  6 Ac 3.45-3.47

Results
Space-group type = P2/m, No. 10
Total magnetic moment = 0.0 μB/f.u.
Formation energy (no corrections) = -972 meV/atom

---

(6)
This record from the Alexandria database describes crystalline V2Ni2Rh at its relaxed geometry. The functional is GGA-PBE.

a = 8.2574 Å, b = 3.6222 Å, c = 5.8678 Å
α = 90.00°, β = 134.62°, γ = 90.00°
Last column: nearest neighbours and their distance in Å.
Fractional coordinates of all 10 atoms:
V1 0.0841 0.0000 0.2919  6 Ni 2.53-2.64, 3 Rh 2.54-2.72, 3 V 2.64-2.71
V2 0.4159 0.5000 0.7081  6 Ni 2.53-2.64, 3 Rh 2.54-2.72, 3 V 2.64-2.71
V3 0.5841 0.5000 0.2919  6 Ni 2.53-2.64, 3 Rh 2.54-2.72, 3 V 2.64-2.71
V4 0.9159 0.0000 0.7081  6 Ni 2.53-2.64, 3 Rh 2.54-2.72, 3 V 2.64-2.71
Ni1 0.1930 0.5000 0.0969  3 Ni 2.52-2.64, 6 V 2.53-2.64, 3 Rh 2.62-2.64
Ni2 0.3070 0.0000 0.9031  3 Ni 2.52-2.64, 6 V 2.53-2.64, 3 Rh 2.62-2.64
Ni3 0.6930 0.0000 0.0969  3 Ni 2.52-2.64, 6 V 2.53-2.64, 3 Rh 2.62-2.64
Ni4 0.8070 0.5000 0.9031  3 Ni 2.52-2.64, 6 V 2.53-2.64, 3 Rh 2.62-2.64
Rh1 0.0000 0.5000 0.5000  6 V 2.54-2.72, 6 Ni 2.62-2.64
Rh2 0.5000 0.0000 0.5000  6 V 2.54-2.72, 6 Ni 2.62-2.64

Results
Space-group type = C2/m, No. 12
Total magnetic moment = 0.0 μB/f.u.
Energy above the lowest structure with this stoichiometry = 0 meV/atom
DFT formation energy = -20.5 kJ/mol of atoms

---

(7)
This record from the Alexandria database describes crystalline Tm3Si at its relaxed geometry. The functional is GGA-PBE.

a = 3.9119 Å, b = 3.9119 Å, c = 7.3713 Å
α = 90.00°, β = 90.00°, γ = 90.00°
Last column: nearest neighbours and their distance in Å.
Fractional coordinates of all 4 atoms:
Tm1 0.0000 0.0000 0.0000  4 Si 2.77
Tm2 0.0000 0.5000 0.6477  6 Tm 3.25-3.52, 2 Si 3.25
Tm3 0.5000 0.0000 0.3523  6 Tm 3.25-3.52, 2 Si 3.25
Si1 0.5000 0.5000 0.0000  4 Tm 2.77

Results
Space-group type = P-4m2, No. 115
Total magnetic moment = 0.4 μB/f.u.
Formation energy (no corrections) = -69 meV/atom

---

(8)
This record from the Alexandria database describes crystalline KTaTe2 at its relaxed geometry. The functional is GGA-PBE.

a = 8.1639 Å, b = 8.1639 Å, c = 9.2596 Å
α = 90.00°, β = 90.00°, γ = 90.00°
Last column: nearest neighbours and their distance in Å.
Fractional coordinates of all 16 atoms:
K1 0.0000 0.0000 0.0000  4 Te 3.58
K2 0.0000 0.5000 0.2500  4 Te 3.58
K3 0.5000 0.0000 0.7500  4 Te 3.58
K4 0.5000 0.5000 0.5000  4 Te 3.58
Ta1 0.0000 0.0000 0.5000  4 Te 2.72
Ta2 0.0000 0.5000 0.7500  4 Te 2.72
Ta3 0.5000 0.0000 0.2500  4 Te 2.72
Ta4 0.5000 0.5000 0.0000  4 Te 2.72
Te1 0.1694 0.7500 0.6250  2 Ta 2.72
Te2 0.2500 0.1694 0.3750  2 Ta 2.72
Te3 0.2500 0.3306 0.8750  2 Ta 2.72
Te4 0.3306 0.7500 0.1250  2 Ta 2.72
Te5 0.6694 0.2500 0.1250  2 Ta 2.72
Te6 0.7500 0.6694 0.8750  2 Ta 2.72
Te7 0.7500 0.8306 0.3750  2 Ta 2.72
Te8 0.8306 0.2500 0.6250  2 Ta 2.72

Results
Space-group type = I-42d, No. 122
Total magnetic moment = 2.0 μB/f.u.
Formation energy (no corrections) = -179 meV/atom

---

(9)
This record from the Alexandria database describes crystalline Pm2Ho3Zn2 at its relaxed geometry. The functional is GGA-PBE.

a = 11.4914 Å, b = 4.7275 Å, c = 8.1165 Å
α = 90.00°, β = 117.05°, γ = 90.00°
Last column: nearest neighbours and their distance in Å.
Fractional coordinates of all 14 atoms:
Pm1 0.1360 0.0000 0.2918  4 Zn 3.19-3.41, 2 Ho 3.56
Pm2 0.3640 0.5000 0.7082  4 Zn 3.19-3.41, 2 Ho 3.56
Pm3 0.6360 0.5000 0.2918  4 Zn 3.19-3.41, 2 Ho 3.56
Pm4 0.8640 0.0000 0.7082  4 Zn 3.19-3.41, 2 Ho 3.56
Ho1 0.0000 0.5000 0.5000  4 Zn 2.90
Ho2 0.1343 0.5000 0.9628  1 Zn 2.81
Ho3 0.3657 0.0000 0.0372  1 Zn 2.81
Ho4 0.5000 0.0000 0.5000  4 Zn 2.90
Ho5 0.6343 0.0000 0.9628  1 Zn 2.81
Ho6 0.8657 0.5000 0.0372  1 Zn 2.81
Zn1 0.1443 0.0000 0.6902  3 Ho 2.81-2.90
Zn2 0.3557 0.5000 0.3098  3 Ho 2.81-2.90
Zn3 0.6443 0.5000 0.6902  3 Ho 2.81-2.90
Zn4 0.8557 0.0000 0.3098  3 Ho 2.81-2.90

Results
Space-group type = C2/m, No. 12
Total magnetic moment = 0.0 μB/f.u.
Energy above the lowest structure with this stoichiometry = 41 meV/atom
DFT formation energy = -8.5 kJ/mol of atoms

---

(10)
This record from the Alexandria database describes crystalline Rb2LaGaSe4 at its relaxed geometry. The functional is GGA-PBE.

a = 8.9004 Å, b = 8.9004 Å, c = 8.8731 Å
α = 117.72°, β = 117.72°, γ = 92.49°
Last column: nearest neighbours and their distance in Å.
Fractional coordinates of all 16 atoms:
Rb1 0.0000 0.0000 0.0000  6 Se 3.39-3.73
Rb2 0.0000 0.0000 0.5000  6 Se 3.39-3.73
Rb3 0.0000 0.5000 0.0000  6 Se 3.23-3.55
Rb4 0.5000 0.0000 0.5000  6 Se 3.23-3.55
La1 0.0000 0.5000 0.5000  6 Se 2.96-3.18
La2 0.5000 0.0000 0.0000  6 Se 2.96-3.18
Ga1 0.5000 0.5000 0.0000  2 Se 2.42
Ga2 0.5000 0.5000 0.5000  2 Se 2.42
Se1 0.2565 0.7261 0.9601  2 La 2.96-3.04, 1 Ga 3.03, 1 Rb 3.23
Se2 0.2739 0.7435 0.5399  2 La 2.96-3.04, 1 Ga 3.03, 1 Rb 3.23
Se3 0.2966 0.3125 0.5026  1 Ga 2.42
Se4 0.3125 0.2966 0.0026  1 Ga 2.42
Se5 0.6875 0.7034 0.9974  1 Ga 2.42
Se6 0.7034 0.6875 0.4974  1 Ga 2.42
Se7 0.7261 0.2565 0.4601  2 La 2.96-3.04, 1 Ga 3.03, 1 Rb 3.23
Se8 0.7435 0.2739 0.0399  2 La 2.96-3.04, 1 Ga 3.03, 1 Rb 3.23

Results
Space-group type = C2/c, No. 15
Total magnetic moment = 0.0 μB/f.u.
Formation energy (no corrections) = -1142 meV/atom

---

(11)
This record from the Alexandria database describes crystalline BaLaTb4Se8 at its relaxed geometry. The functional is GGA-PBE.

a = 8.7784 Å, b = 8.7784 Å, c = 8.7784 Å
α = 58.91°, β = 58.91°, γ = 58.91°
Last column: nearest neighbours and their distance in Å.
Fractional coordinates of all 14 atoms:
Ba1 0.0000 0.0000 0.0000  4 Se 3.02-3.04
La1 0.6292 0.6292 0.6292  6 Se 2.96-3.10
Tb1 0.1236 0.6290 0.6290  6 Se 2.83-3.00
Tb2 0.2535 0.2535 0.2535  4 Se 2.79-2.85
Tb3 0.6290 0.1236 0.6290  6 Se 2.83-3.00
Tb4 0.6290 0.6290 0.1236  6 Se 2.83-3.00
Se1 0.3785 0.3785 0.8598  3 Tb 2.79-2.99, 1 La 3.10
Se2 0.3785 0.8598 0.3785  3 Tb 2.79-2.99, 1 La 3.10
Se3 0.3850 0.3850 0.3850  4 Tb 2.85-3.00
Se4 0.4267 0.8674 0.8674  2 Tb 2.83, 1 La 2.96, 1 Ba 3.02
Se5 0.8598 0.3785 0.3785  3 Tb 2.79-2.99, 1 La 3.10
Se6 0.8600 0.8600 0.8600  3 Tb 2.85, 1 Ba 3.04
Se7 0.8674 0.4267 0.8674  2 Tb 2.83, 1 La 2.96, 1 Ba 3.02
Se8 0.8674 0.8674 0.4267  2 Tb 2.83, 1 La 2.96, 1 Ba 3.02

Results
Space-group type = R3m, No. 160
Total magnetic moment = 0.0 μB/f.u.
Formation energy (no corrections) = -1805 meV/atom